# 1
Compound: Ca2SiCl2O3
Source: Alexandria
Functional: SCAN
Structure: single point on PBEsol structure

Cell: 10.650 10.650 9.323 Å, 90.00 90.00 90.00°
Space group I4/m (No. 87)
Unique sites:
1 Ca 0.079 0.748 0.235 x16
2 Si 0.104 0.189 0.500 x8
3 Cl 0.000 0.000 0.215 x4
4 Cl 0.000 0.500 0.250 x4
5 Cl 0.080 0.256 0.000 x8
6 O 0.051 0.825 0.500 x8
7 O 0.137 0.251 0.347 x16

- total magnetization (μB per formula unit) = 0.000
- uncorrected energy (eV/atom) = -11.07
- Fermi-level density of states (states/eV per cell) = 0.0

# 2
Compound: Ca5V3ClO12
Source: Alexandria
Functional: SCAN
Structure: single point on PBEsol structure

Cell: 10.1451 10.1451 6.6388 Å, 90.00 90.00 120.00°
Space group P6_3/m (No. 176)
Unique sites:
1 Ca 0.0356 0.7667 0.2500 x6
2 Ca 0.3333 0.6667 0.5039 x4
3 V 0.0312 0.4154 0.2500 x6
4 Cl 0.0000 0.0000 0.0000 x2
5 O 0.0862 0.3501 0.0474 x12
6 O 0.1437 0.6126 0.2500 x6
7 O 0.1563 0.6406 0.7500 x6

- total magnetization (μB per formula unit) = 0.000
- uncorrected energy (eV/atom) = -11.86
- Fermi-level density of states (states/eV per cell) = 0.0

# 3
Compound: CaOs2Cl
Source: Alexandria
Functional: SCAN
Structure: single point on PBEsol structure

Cell: 6.390 6.390 6.390 Å, 90.00 90.00 90.00°
Space group Fm-3m (No. 225)
Unique sites:
1 Ca 0.000 0.000 0.000 x4
2 Os 0.250 0.250 0.250 x8
3 Cl 0.000 0.000 0.500 x4

- ΔE to the lowest computed polymorph (kJ per mole of atoms) = 155.22
- total magnetization (μB per formula unit) = 0.000
- Fermi-level density of states (states/eV per cell) = 17.2

Q: Among the records above, which one has the highest Fermi-level density of states?
A: CaOs2Cl